The following is a PBE calculation of Rb3NbHg after structural relaxation, from Alexandria via LeMat-Bulk.

The structure belongs to space group Pm-3m (No. 221); the cell edges are 7.105, 7.105 and 7.105 Å and the angles 90.00°, 90.00° and 90.00°. The inequivalent atoms are Rb at (0.000, 0.000, 0.500), Nb at (0.000, 0.000, 0.000) and Hg at (0.500, 0.500, 0.500).

The value obtained for the relative energy among the computed polymorphs is 0.0 kJ/mol of atoms. Its spin magnetization is 1.190 μB/atom. As for the formation enthalpy at 0 K: 1.000 eV per atom.